(1)
A geometry-optimized Li2CoHg structure. Source: Alexandria, functional PBE.

## Properties
As for the formation energy from the elements: 11 kJ/mol of atoms.

a = 5.376 Å, b = 9.044 Å, c = 2.780 Å
α = 90.00°, β = 115.36°, γ = 90.00°
Space group C2/m (No. 12)
Asymmetric unit:
Li (0.250, 0.250, 0.000) [4 per cell]
Co (0.000, 0.000, 0.500) [2 per cell]
Hg (0.000, 0.500, 0.500) [2 per cell]

=====

(2)
A geometry-optimized Li2CoHg structure. Source: Alexandria, functional PBE.

## Properties
As for the formation energy from the elements: 7 kJ/mol of atoms.

a = 3.832 Å, b = 3.832 Å, c = 8.006 Å
α = 90.00°, β = 90.00°, γ = 90.00°
Space group I4/mmm (No. 139)
Asymmetric unit:
Li (0.000, 0.500, 0.250) [4 per cell]
Co (0.000, 0.000, 0.000) [2 per cell]
Hg (0.000, 0.000, 0.500) [2 per cell]

=====

(3)
A geometry-optimized Li2CoHg structure. Source: Alexandria, functional PBE.

## Properties
As for the formation energy from the elements: 5 kJ/mol of atoms.

a = 3.852 Å, b = 3.882 Å, c = 3.950 Å
α = 90.00°, β = 90.00°, γ = 90.00°
Space group Pmmm (No. 47)
Asymmetric unit:
Li (0.000, 0.000, 0.000) [1 per cell]
Li (0.500, 0.500, 0.000) [1 per cell]
Co (0.000, 0.500, 0.500) [1 per cell]
Hg (0.500, 0.000, 0.500) [1 per cell]

=====

(4)
A geometry-optimized LiCoHg2 structure. Source: Alexandria, functional PBE.

## Properties
As for the formation energy from the elements: 19 kJ/mol of atoms.

a = 3.0560 Å, b = 3.0560 Å, c = 26.6938 Å
α = 90.00°, β = 90.00°, γ = 120.00°
Space group R-3m (No. 166, hexagonal axes)
Asymmetric unit:
Li (0.0000, 0.0000, 0.0000) [3 per cell]
Co (0.0000, 0.0000, 0.5000) [3 per cell]
Hg (0.0000, 0.0000, 0.2477) [6 per cell]

=====

Look up the formation energy from the elements of the third one. 5 kJ/mol of atoms